(1)
## LiNbAgTeS2 (GGA-PBE)

Data for LiNbAgTeS2 after structural relaxation.

CIF file:
```
data_LiNbAgTeS2
_cell_length_a 7.048
_cell_length_b 7.048
_cell_length_c 10.289
_cell_angle_alpha 90.00
_cell_angle_beta 90.00
_cell_angle_gamma 151.37
_space_group_name_H-M_alt 'P 1'
_space_group_IT_number 1
loop_
_space_group_symop_operation_xyz
'x,y,z'
loop_
_atom_site_label
_atom_site_type_symbol
_atom_site_fract_x
_atom_site_fract_y
_atom_site_fract_z
Nb1 Nb 0.000 0.000 0.500
Te1 Te 0.121 0.879 0.750
S1 S 0.629 0.371 0.451
Ag1 Ag 0.539 0.461 0.250
Ag2 Ag 0.461 0.539 0.750
S2 S 0.629 0.371 0.049
S3 S 0.371 0.629 0.951
Li1 Li 0.201 0.799 0.250
Li2 Li 0.799 0.201 0.750
S4 S 0.371 0.629 0.549
Te2 Te 0.879 0.121 0.250
Nb2 Nb 0.000 0.000 0.000
```

Computed properties:
Symmetry: Cmcm, No. 63
Crystal system: orthorhombic
Magnetic moment (μB per formula unit): 0.01

---

(2)
## PmTl2Ga2 (GGA-PBE)

Data for PmTl2Ga2 after structural relaxation.

CIF file:
```
data_PmTl2Ga2
_cell_length_a 5.776
_cell_length_b 5.776
_cell_length_c 10.661
_cell_angle_alpha 90.00
_cell_angle_beta 90.00
_cell_angle_gamma 133.33
_space_group_name_H-M_alt 'P 1'
_space_group_IT_number 1
loop_
_space_group_symop_operation_xyz
'x,y,z'
loop_
_atom_site_label
_atom_site_type_symbol
_atom_site_fract_x
_atom_site_fract_y
_atom_site_fract_z
Ga1 Ga 0.561 0.439 0.888
Ga2 Ga 0.439 0.561 0.112
Ga3 Ga 0.561 0.439 0.612
Tl1 Tl 0.775 0.225 0.397
Ga4 Ga 0.439 0.561 0.388
Pm1 Pm 0.089 0.911 0.250
Pm2 Pm 0.911 0.089 0.750
Tl2 Tl 0.225 0.775 0.897
Tl3 Tl 0.225 0.775 0.603
Tl4 Tl 0.775 0.225 0.103
```

Computed properties:
Symmetry: Cmcm, No. 63
Crystal system: orthorhombic
Magnetic moment (μB per formula unit): 0.00

---

(3)
## BeHg2Bi (GGA-PBE)

Data for BeHg2Bi after structural relaxation.

CIF file:
```
data_BeHg2Bi
_cell_length_a 5.107
_cell_length_b 5.107
_cell_length_c 5.107
_cell_angle_alpha 60.00
_cell_angle_beta 60.00
_cell_angle_gamma 60.00
_space_group_name_H-M_alt 'P 1'
_space_group_IT_number 1
loop_
_space_group_symop_operation_xyz
'x,y,z'
loop_
_atom_site_label
_atom_site_type_symbol
_atom_site_fract_x
_atom_site_fract_y
_atom_site_fract_z
Hg1 Hg 0.750 0.750 0.750
Hg2 Hg 0.000 0.000 0.000
Be1 Be 0.250 0.250 0.250
Bi1 Bi 0.500 0.500 0.500
```

Computed properties:
Symmetry: F-43m, No. 216
Crystal system: cubic

---

(4)
## RbDyTh (GGA-PBE)

Data for RbDyTh after structural relaxation.

CIF file:
```
data_RbDyTh
_cell_length_a 5.821
_cell_length_b 5.821
_cell_length_c 5.821
_cell_angle_alpha 60.00
_cell_angle_beta 60.00
_cell_angle_gamma 60.00
_space_group_name_H-M_alt 'P 1'
_space_group_IT_number 1
loop_
_space_group_symop_operation_xyz
'x,y,z'
loop_
_atom_site_label
_atom_site_type_symbol
_atom_site_fract_x
_atom_site_fract_y
_atom_site_fract_z
Dy1 Dy 0.000 0.000 0.000
Th1 Th 0.750 0.750 0.750
Rb1 Rb 0.250 0.250 0.250
```

Computed properties:
Symmetry: F-43m, No. 216
Crystal system: cubic
Magnetic moment (μB per formula unit): 0.04

---

In order of appearance, total DFT energy (no corrections) = -58.93; -32.25; -6.19; -8.63 eV for the cell shown.